# 1
# Cd3SnBi3

A relaxed Cd3SnBi3 crystal (GGA-PBE, the Alexandria database).

## Properties
**Magnetization**: 0.6 μB per cell
**Density**: 6533 kg/m3
**Symmetry**: Pm-3n
**VASP energy**: -2.147 eV/atom
**Formation enthalpy at 0 K**: 0.48 eV/atom

Lattice parameters (Å, degrees): 8.1957 8.1957 8.1957 90.00 90.00 90.00
Closest atoms and distances in Å follow each position.
Atoms (fractional coordinates):
Cd (0.0000, 0.2500, 0.5000)  4 Bi 2.90
Cd (0.0000, 0.7500, 0.5000)  4 Bi 2.90
Cd (0.2500, 0.5000, 0.0000)  4 Bi 2.90
Cd (0.5000, 0.0000, 0.2500)  4 Bi 2.90
Cd (0.5000, 0.0000, 0.7500)  4 Bi 2.90
Cd (0.7500, 0.5000, 0.0000)  4 Bi 2.90
Sn (0.0000, 0.0000, 0.0000)  12 Cd 4.58, 12 Bi 4.58
Sn (0.5000, 0.5000, 0.5000)  12 Cd 4.58, 12 Bi 4.58
Bi (0.0000, 0.5000, 0.2500)  4 Cd 2.90
Bi (0.0000, 0.5000, 0.7500)  4 Cd 2.90
Bi (0.2500, 0.0000, 0.5000)  4 Cd 2.90
Bi (0.5000, 0.2500, 0.0000)  4 Cd 2.90
Bi (0.5000, 0.7500, 0.0000)  4 Cd 2.90
Bi (0.7500, 0.0000, 0.5000)  4 Cd 2.90

***

# 2
# Pm2Cu3Ge4Pd

A relaxed Pm2Cu3Ge4Pd crystal (GGA-PBE, the Alexandria database).

## Properties
**Magnetization**: 0.0 μB per cell
**Density**: 8059 kg/m3
**Symmetry**: P-4m2
**VASP energy**: -5.124 eV/atom
**Formation enthalpy at 0 K**: -0.58 eV/atom

Lattice parameters (Å, degrees): 4.2144 4.2144 10.1818 90.00 90.00 90.00
Closest atoms and distances in Å follow each position.
Atoms (fractional coordinates):
Pm (0.0000, 0.5000, 0.2485)  8 Ge 3.21-3.29, 6 Cu 3.22-3.32, 2 Pd 3.32
Pm (0.5000, 0.0000, 0.7515)  8 Ge 3.21-3.29, 6 Cu 3.22-3.32, 2 Pd 3.32
Cu (0.0000, 0.5000, 0.8713)  5 Ge 2.40-2.48
Cu (0.5000, 0.0000, 0.1287)  5 Ge 2.40-2.48
Cu (0.5000, 0.5000, 0.5000)  4 Ge 2.52
Ge (0.0000, 0.0000, 0.0000)  4 Cu 2.48
Ge (0.0000, 0.5000, 0.6356)  3 Cu 2.40-2.52, 2 Pd 2.52
Ge (0.5000, 0.0000, 0.3644)  3 Cu 2.40-2.52, 2 Pd 2.52
Ge (0.5000, 0.5000, 0.0000)  4 Cu 2.48
Pd (0.0000, 0.0000, 0.5000)  4 Ge 2.52

***

# 3
# NbSiC

A relaxed NbSiC crystal (GGA-PBE, the Alexandria database).

## Properties
**Magnetization**: 0.0 μB per cell
**Density**: 4847 kg/m3
**Symmetry**: R-3m
**VASP energy**: -8.006 eV/atom
**Formation energy without anion corrections**: 67 kJ/mol of formula units

Lattice parameters (Å, degrees): 8.2020 8.2020 8.2020 25.67 25.67 25.67
Closest atoms and distances in Å follow each position.
Atoms (fractional coordinates):
Nb (0.1186, 0.1186, 0.1186)  4 C 2.11-2.12
Nb (0.8814, 0.8814, 0.8814)  4 C 2.11-2.12
Si (0.3561, 0.3561, 0.3561)  3 Si 2.37
Si (0.6439, 0.6439, 0.6439)  3 Si 2.37
C (0.2078, 0.2078, 0.2078)  4 Nb 2.11-2.12
C (0.7922, 0.7922, 0.7922)  4 Nb 2.11-2.12

***

# 4
# NaPm5Se6

A relaxed NaPm5Se6 crystal (GGA-PBE, the Alexandria database).

## Properties
**Magnetization**: 0.0 μB per cell
**Density**: 6467 kg/m3
**Symmetry**: C2/m
**VASP energy**: -5.627 eV/atom
**Formation energy without anion corrections**: -2079 kJ/mol of formula units

Lattice parameters (Å, degrees): 7.2604 7.2604 7.2861 99.58 99.58 119.98
Closest atoms and distances in Å follow each position.
Atoms (fractional coordinates):
Na (0.0000, 0.0000, 0.0000)  6 Se 2.92-2.95
Pm (0.1644, 0.8356, 0.5000)  6 Se 2.95-3.00
Pm (0.3345, 0.6655, 0.0000)  6 Se 2.95-2.98
Pm (0.5000, 0.5000, 0.5000)  6 Se 2.96-3.02
Pm (0.6655, 0.3345, 0.0000)  6 Se 2.95-2.98
Pm (0.8356, 0.1644, 0.5000)  6 Se 2.95-3.00
Se (0.0826, 0.4139, 0.2496)  1 Na 2.95, 5 Pm 2.96-3.00
Se (0.2472, 0.2472, 0.7550)  1 Na 2.92, 5 Pm 2.95-3.02
Se (0.4139, 0.0826, 0.2496)  1 Na 2.95, 5 Pm 2.96-3.00
Se (0.5861, 0.9174, 0.7504)  1 Na 2.95, 5 Pm 2.96-3.00
Se (0.7528, 0.7528, 0.2450)  1 Na 2.92, 5 Pm 2.95-3.02
Se (0.9174, 0.5861, 0.7504)  1 Na 2.95, 5 Pm 2.96-3.00